Arrangement 1

## YAg2Cl (PBE)

Data for a relaxed YAg2Cl crystal.

Cell and atoms, written as POSCAR:
```
YAg2Cl
1.0
4.0516 0.0000 0.0000
0.0000 4.0672 0.0000
0.0000 0.0000 5.6138
Ag Cl Y
2 1 1
Cartesian
0.0000 0.0000 5.5959 Ag
0.0000 0.0000 2.8247 Ag
2.0258 2.0336 1.4034 Cl
2.0258 2.0336 4.2103 Y
```



Arrangement 2

## YAg2Cl (PBE)

Data for a relaxed YAg2Cl crystal.

Cell and atoms, written as POSCAR:
```
YAg2Cl
1.0
3.3868 0.0000 0.0000
0.0000 3.3864 -0.0407
0.0000 1.9043 8.4829
Ag Cl Y
2 1 1
Cartesian
0.0000 2.1022 8.4326 Ag
1.6934 1.9097 1.4811 Ag
0.0000 2.0569 4.8172 Cl
1.6934 3.7715 6.4153 Y
```



Arrangement 3

## YAg2Cl (PBE)

Data for a relaxed YAg2Cl crystal.

Cell and atoms, written as POSCAR:
```
YAg2Cl
1.0
-2.6478 -4.0790 1.3991
-5.0408 -0.0188 -0.4433
-2.2211 -2.8986 -3.5031
Y Ag Cl
1 2 1
Cartesian
-4.9549 -3.4982 -1.2737 Y
-2.4774 -1.7491 -0.6368 Ag
-7.4323 -5.2473 -1.9105 Ag
0.0000 0.0000 0.0000 Cl
```



It turns out arrangement 2 is the most stable, with the second structure 0.237 eV/atom higher.